VASP calculation (PBE) on a relaxed ScRe2As crystal.

## Properties
M_tot: 0.00 μB per formula unit
ΔE_f: 0.266 eV/atom

Cell lengths 2.972, 4.248, 5.277 Å; angles 90.00, 90.00, 90.00 degrees
Element x y z (fractional)
Sc 0.000 0.000 0.000
Re 0.500 0.500 0.270
Re 0.500 0.500 0.730
As 0.000 0.000 0.500